! PBE-GGA Cs2HoCuBr6, optimized geometry; values from VASP
! Magnetization: 0.000 μB per formula unit
! E_form (uncorrected): -1.5180 eV per atom
&SYSTEM
  ibrav = 0, nat = 10, ntyp = 4
/
ATOMIC_SPECIES
Br 79.90 Br.upf
Ho 164.93 Ho.upf
Cu 63.55 Cu.upf
Cs 132.91 Cs.upf
ATOMIC_POSITIONS crystal
Br 0.236 0.236 0.528
Br 0.764 0.764 0.000
Br 0.764 0.764 0.472
Br 0.236 0.236 0.000
Br 0.273 0.728 0.000
Br 0.727 0.272 0.000
Ho 0.000 0.000 0.000
Cu 0.500 0.500 0.000
Cs 0.250 0.750 0.500
Cs 0.750 0.250 0.500
CELL_PARAMETERS angstrom
7.820 0.500 0.002
0.499 7.820 0.001
4.162 4.162 5.886

---

! PBE-GGA MnCoRh, optimized geometry; values from VASP
! Magnetization: 2.437 μB per formula unit
! E_form: 0.116 eV per atom
! Energy above the lowest structure with this stoichiometry: 105 meV/atom
&SYSTEM
  ibrav = 0, nat = 3, ntyp = 3
/
ATOMIC_SPECIES
Mn 54.94 Mn.upf
Co 58.93 Co.upf
Rh 102.91 Rh.upf
ATOMIC_POSITIONS crystal
Mn 0.667 0.333 0.167
Co 0.000 0.000 0.167
Rh 0.333 0.667 0.667
CELL_PARAMETERS angstrom
4.035 0.000 0.000
-2.017 3.494 0.000
0.000 0.000 2.587

---

! PBE-GGA BaCe4Sn4, optimized geometry; values from VASP
! Magnetization: 3.822 μB per formula unit
! E_form: -0.353 eV per atom
&SYSTEM
  ibrav = 0, nat = 18, ntyp = 3
/
ATOMIC_SPECIES
Sn 118.71 Sn.upf
Ce 140.12 Ce.upf
Ba 137.33 Ba.upf
ATOMIC_POSITIONS crystal
Sn 0.422 0.677 0.812
Sn 0.578 0.812 0.323
Sn 0.578 0.188 0.677
Sn 0.922 0.688 0.177
Sn 0.078 0.177 0.312
Sn 0.078 0.823 0.688
Sn 0.922 0.312 0.823
Sn 0.422 0.323 0.188
Ce 0.403 0.379 0.890
Ce 0.403 0.621 0.110
Ce 0.903 0.390 0.121
Ce 0.903 0.610 0.879
Ce 0.097 0.879 0.390
Ce 0.597 0.110 0.379
Ce 0.097 0.121 0.610
Ce 0.597 0.890 0.621
Ba 0.000 0.000 0.000
Ba 0.500 0.500 0.500
CELL_PARAMETERS angstrom
6.220 0.000 0.000
0.000 10.510 0.000
0.000 0.000 10.510

---

! PBE-GGA Na3MnTe3, optimized geometry; values from VASP
! Magnetization: 4.000 μB per formula unit
! E_form (uncorrected): -0.6277 eV per atom
&SYSTEM
  ibrav = 0, nat = 28, ntyp = 3
/
ATOMIC_SPECIES
Te 127.60 Te.upf
Na 22.99 Na.upf
Mn 54.94 Mn.upf
ATOMIC_POSITIONS crystal
Te 0.714 0.000 0.611
Te 0.053 0.684 0.125
Te 0.214 0.000 0.889
Te 0.447 0.316 0.625
Te 0.947 0.316 0.875
Te 0.369 0.316 0.125
Te 0.553 0.684 0.375
Te 0.286 0.000 0.389
Te 0.631 0.684 0.875
Te 0.869 0.316 0.375
Te 0.131 0.684 0.625
Te 0.786 0.000 0.111
Na 0.318 0.000 0.146
Na 0.682 0.000 0.854
Na 0.630 0.639 0.626
Na 0.370 0.361 0.374
Na 0.130 0.639 0.874
Na 0.182 0.000 0.646
Na 0.870 0.361 0.126
Na 0.818 0.000 0.354
Na 0.491 0.361 0.874
Na 0.991 0.361 0.626
Na 0.509 0.639 0.126
Na 0.009 0.639 0.374
Mn 0.086 0.172 0.000
Mn 0.914 0.828 0.000
Mn 0.414 0.828 0.500
Mn 0.586 0.172 0.500
CELL_PARAMETERS angstrom
6.732 0.000 0.000
-3.366 9.899 0.000
0.000 0.000 13.010

---

! PBE-GGA FeRu2Rh3, optimized geometry; values from VASP
! Magnetization: 2.955 μB per formula unit
! E_form: 0.260 eV per atom
&SYSTEM
  ibrav = 0, nat = 12, ntyp = 3
/
ATOMIC_SPECIES
Fe 55.84 Fe.upf
Ru 101.07 Ru.upf
Rh 102.91 Rh.upf
ATOMIC_POSITIONS crystal
Fe 0.250 0.654 0.308
Fe 0.750 0.346 0.692
Ru 0.000 0.728 0.000
Ru 0.000 0.272 0.000
Ru 0.500 0.728 0.000
Ru 0.500 0.272 0.000
Rh 0.751 0.427 0.356
Rh 0.250 0.147 0.293
Rh 0.251 0.070 0.644
Rh 0.749 0.930 0.356
Rh 0.750 0.853 0.707
Rh 0.249 0.573 0.644
CELL_PARAMETERS angstrom
4.917 -0.128 0.065
0.156 4.756 -2.427
-0.078 0.605 7.061

---

! PBE-GGA Dy5Ho12In2, optimized geometry; values from VASP
! Magnetization: 0.000 μB per formula unit
! E_form: -0.005 eV per atom
&SYSTEM
  ibrav = 0, nat = 19, ntyp = 3
/
ATOMIC_SPECIES
Ho 164.93 Ho.upf
Dy 162.50 Dy.upf
In 114.82 In.upf
ATOMIC_POSITIONS crystal
Ho 0.036 0.703 0.763
Ho 0.964 0.297 0.237
Ho 0.084 0.167 0.884
Ho 0.430 0.251 0.662
Ho 0.334 0.297 0.237
Ho 0.916 0.833 0.116
Ho 0.666 0.703 0.763
Ho 0.179 0.749 0.338
Ho 0.821 0.251 0.662
Ho 0.570 0.749 0.338
Ho 0.446 0.893 0.675
Ho 0.554 0.107 0.325
Dy 0.000 0.000 0.500
Dy 0.234 0.468 0.580
Dy 0.691 0.382 0.008
Dy 0.766 0.532 0.420
Dy 0.309 0.618 0.992
In 0.320 0.000 0.000
In 0.680 0.000 0.000
CELL_PARAMETERS angstrom
-6.319 -0.992 6.662
5.339 -6.772 -2.346
5.486 2.662 5.600

---

! PBE-GGA CeNpRu3, optimized geometry; values from VASP
! Magnetization: 1.617 μB per formula unit
! E_form: 0.504 eV per atom
&SYSTEM
  ibrav = 0, nat = 5, ntyp = 3
/
ATOMIC_SPECIES
Ru 101.07 Ru.upf
Ce 140.12 Ce.upf
Np 237.00 Np.upf
ATOMIC_POSITIONS crystal
Ru 0.000 0.000 0.500
Ru 0.000 0.500 0.000
Ru 0.500 0.500 0.500
Ce 0.500 0.000 0.000
Np 0.000 0.500 0.500
CELL_PARAMETERS angstrom
-1.013 -1.922 -4.270
-0.500 -4.300 2.055
-4.656 0.880 0.709

---

! PBE-GGA SrCd2RhSe, optimized geometry; values from VASP
! Magnetization: 0.000 μB per formula unit
! E_form (uncorrected): -0.3365 eV per atom
&SYSTEM
  ibrav = 0, nat = 5, ntyp = 4
/
ATOMIC_SPECIES
Cd 112.41 Cd.upf
Sr 87.62 Sr.upf
Se 78.96 Se.upf
Rh 102.91 Rh.upf
ATOMIC_POSITIONS crystal
Cd 0.000 0.000 0.500
Cd 0.500 0.000 0.000
Sr 0.500 0.500 0.500
Se 0.000 0.500 0.000
Rh 0.000 0.000 0.000
CELL_PARAMETERS angstrom
-1.277 3.178 3.819
-4.536 -2.375 0.459
2.048 -3.256 3.394

---

Number 1: E_tot -35.60 eV/cell, Fermi-level density of states 0.0 states/eV/f.u.. Number 2: E_tot -23.28 eV/cell, Fermi-level density of states 4.4 states/eV/f.u.. Number 3: E_tot -89.70 eV/cell, Fermi-level density of states 27.3 states/eV/f.u.. Number 4: E_tot -107.78 eV/cell, Fermi-level density of states 3.0 states/eV/f.u.. Number 5: E_tot -95.02 eV/cell, Fermi-level density of states 9.2 states/eV/f.u.. Number 6: E_tot -83.51 eV/cell, Fermi-level density of states 27.9 states/eV/f.u.. Number 7: E_tot -44.18 eV/cell, Fermi-level density of states 8.7 states/eV/f.u.. Number 8: E_tot -16.03 eV/cell, Fermi-level density of states 2.4 states/eV/f.u..